Compound: Sm2Y2N3
Source: Alexandria
Functional: PBE
Structure: optimized geometry

* formation energy from raw total energies: -1340 meV per atom
* crystal system: monoclinic
* D(E_F): 3.2 states/eV/cell
* DFT total energy: -56.72 eV/cell
* V: 18.18 Å³ per atom

a = 3.535 Å, b = 6.203 Å, c = 6.146 Å
α = 99.18°, β = 106.71°, γ = 90.00°
Fractional positions:
Sm1 0.867 0.635 0.735
Sm2 0.133 0.365 0.265
Y1 0.626 0.890 0.253
Y2 0.374 0.110 0.747
N1 0.000 0.000 0.000
N2 0.748 0.243 0.496
N3 0.252 0.757 0.504

---

Compound: SmYN
Source: Alexandria
Functional: PBE
Structure: optimized geometry

* formation energy from raw total energies: -978 meV per atom
* crystal system: trigonal
* D(E_F): 2.6 states/eV/cell
* DFT total energy: -22.44 eV/cell
* V: 22.30 Å³ per atom

a = 3.546 Å, b = 3.546 Å, c = 6.141 Å
α = 90.00°, β = 90.00°, γ = 120.00°
Last column: magnetic moment on the atom in μB.
Fractional positions:
Y1 0.000 0.000 0.117  0.18
Sm1 0.333 0.667 0.559  0.15
N1 0.667 0.333 0.324  -0.01

---

Compound: SmYN
Source: Alexandria
Functional: PBE
Structure: optimized geometry

* formation energy from raw total energies: -1007 meV per atom
* crystal system: monoclinic
* D(E_F): 2.6 states/eV/cell
* DFT total energy: -22.53 eV/cell
* V: 22.14 Å³ per atom

a = 6.396 Å, b = 8.122 Å, c = 8.122 Å
α = 25.31°, β = 24.89°, γ = 24.89°
Last column: magnetic moment on the atom in μB.
Fractional positions:
Sm1 0.274 0.817 0.817  0.10
N1 0.542 0.562 0.562  -0.01
Y1 0.868 0.297 0.297  0.10

---

Compound: SmY3N4
Source: Alexandria
Functional: PBE
Structure: optimized geometry

* formation energy from raw total energies: -1633 meV per atom
* crystal system: monoclinic
* D(E_F): 0.7 states/eV/cell
* DFT total energy: -140.96 eV/cell
* V: 15.25 Å³ per atom

a = 6.073 Å, b = 6.073 Å, c = 7.017 Å
α = 90.00°, β = 90.00°, γ = 109.46°
Fractional positions:
Y1 0.750 0.000 0.376
Y2 0.250 0.000 0.624
Y3 0.750 0.500 0.624
Y4 0.750 0.500 0.126
Y5 0.250 0.500 0.376
Y6 0.250 0.500 0.874
Sm1 0.750 0.000 0.874
Sm2 0.250 0.000 0.126
N1 0.003 0.251 0.623
N2 0.499 0.255 0.872
N3 0.503 0.251 0.377
N4 0.999 0.255 0.128
N5 0.001 0.745 0.872
N6 0.497 0.749 0.623
N7 0.501 0.745 0.128
N8 0.997 0.749 0.377

---

Compound: SmYN2
Source: Alexandria
Functional: PBE
Structure: optimized geometry

* formation energy from raw total energies: -1230 meV per atom
* crystal system: trigonal
* D(E_F): 0.1 states/eV/cell
* DFT total energy: -32.75 eV/cell
* V: 15.95 Å³ per atom

a = 3.473 Å, b = 3.472 Å, c = 6.111 Å
α = 90.01°, β = 90.00°, γ = 120.00°
Fractional positions:
Sm1 0.000 0.500 0.500
Y1 0.000 0.500 0.000
N1 0.667 0.833 0.756
N2 0.333 0.167 0.244

---

Compound: SmY2N2
Source: Alexandria
Functional: PBE
Structure: optimized geometry

* formation energy from raw total energies: -1261 meV per atom
* crystal system: monoclinic
* D(E_F): 6.7 states/eV/cell
* DFT total energy: -81.21 eV/cell
* V: 18.90 Å³ per atom

a = 4.942 Å, b = 6.144 Å, c = 7.945 Å
α = 59.77°, β = 71.88°, γ = 66.28°
Fractional positions:
Sm1 0.342 0.223 0.093
Sm2 0.658 0.777 0.907
Y1 0.662 0.246 0.430
Y2 0.338 0.754 0.570
Y3 0.006 0.720 0.269
Y4 0.994 0.280 0.731
N1 0.164 0.250 0.421
N2 0.836 0.750 0.579
N3 0.501 0.254 0.743
N4 0.499 0.746 0.257